# 1
# Mg5In2SnHg2 | Alexandria | PBE | optimized geometry
data_Mg5In2SnHg2
_cell_length_a 11.181
_cell_length_b 11.181
_cell_length_c 3.894
_cell_angle_alpha 90.00
_cell_angle_beta 90.00
_cell_angle_gamma 90.00
_space_group_name_H-M_alt 'P 4/m b m'
_space_group_IT_number 127
_space_group_name_Hall '-P 4 2ab'
loop_
_atom_site_label
_atom_site_type_symbol
_atom_site_fract_x
_atom_site_fract_y
_atom_site_fract_z
Mg1 Mg 0.000 0.500 0.000
Mg2 Mg 0.038 0.203 0.000
In1 In 0.176 0.676 0.500
Sn1 Sn 0.000 0.000 0.500
Hg1 Hg 0.132 0.368 0.500
# V = 24.34 A^3/atom
# magnetization = 0.000 μB/f.u.
# E_form = -0.8 eV/f.u.



# 2
# Mg5In2Sn2Hg | Alexandria | PBE | optimized geometry
data_Mg5In2Sn2Hg
_cell_length_a 11.158
_cell_length_b 11.158
_cell_length_c 4.021
_cell_angle_alpha 90.00
_cell_angle_beta 90.00
_cell_angle_gamma 90.00
_space_group_name_H-M_alt 'P 4/m b m'
_space_group_IT_number 127
_space_group_name_Hall '-P 4 2ab'
loop_
_atom_site_label
_atom_site_type_symbol
_atom_site_fract_x
_atom_site_fract_y
_atom_site_fract_z
Mg1 Mg 0.000 0.500 0.000
Mg2 Mg 0.011 0.202 0.000
In1 In 0.160 0.660 0.500
Sn1 Sn 0.148 0.352 0.500
Hg1 Hg 0.000 0.000 0.500
# V = 25.03 A^3/atom
# magnetization = 0.000 μB/f.u.
# E_form = -0.4 eV/f.u.



# 3
# Sr2Mg6InHg | Alexandria | PBE | optimized geometry
data_Sr2Mg6InHg
_cell_length_a 8.194
_cell_length_b 10.098
_cell_length_c 7.308
_cell_angle_alpha 90.00
_cell_angle_beta 90.00
_cell_angle_gamma 90.00
_space_group_name_H-M_alt 'P m m n'
_space_group_IT_number 59
loop_
_space_group_symop_operation_xyz
'x,y,z'
'-x,-y,-z'
'-x+1/2,-y+1/2,z'
'x+1/2,y+1/2,-z'
'x+1/2,-y,-z'
'-x+1/2,y,z'
'-x,y+1/2,-z'
'x,-y+1/2,z'
loop_
_atom_site_label
_atom_site_type_symbol
_atom_site_fract_x
_atom_site_fract_y
_atom_site_fract_z
Sr1 Sr 0.250 0.016 0.226
Mg1 Mg 0.062 0.250 0.891
Mg2 Mg 0.073 0.750 0.542
Mg3 Mg 0.250 0.000 0.723
In1 In 0.250 0.750 0.924
Hg1 Hg 0.250 0.250 0.547
# V = 30.24 A^3/atom
# magnetization = 0.000 μB/f.u.
# E_form = -0.8 eV/f.u.



# 4
# Sr3Mg2In2Hg4 | Alexandria | PBE | optimized geometry
data_Sr3Mg2In2Hg4
_cell_length_a 5.0613
_cell_length_b 5.0613
_cell_length_c 14.6121
_cell_angle_alpha 90.00
_cell_angle_beta 90.00
_cell_angle_gamma 120.00
_space_group_name_H-M_alt 'P -3 m 1'
_space_group_IT_number 164
_space_group_name_Hall '-P 3 2"'
loop_
_atom_site_label
_atom_site_type_symbol
_atom_site_fract_x
_atom_site_fract_y
_atom_site_fract_z
Sr1 Sr 0.0000 0.0000 0.0000
Sr2 Sr 0.0000 0.0000 0.2741
Mg1 Mg 0.3333 0.6667 0.5653
In1 In 0.3333 0.6667 0.1454
Hg1 Hg 0.3333 0.6667 0.3743
Hg2 Hg 0.3333 0.6667 0.8708
# V = 29.47 A^3/atom
# magnetization = 0.000 μB/f.u.
# E_form = -4.1 eV/f.u.



# 5
# Sr2Mg12InHg3 | Alexandria | PBE | optimized geometry
data_Sr2Mg12InHg3
_cell_length_a 7.4621
_cell_length_b 7.4621
_cell_length_c 31.9180
_cell_angle_alpha 90.00
_cell_angle_beta 90.00
_cell_angle_gamma 120.00
_space_group_name_H-M_alt 'R -3 m'
_space_group_IT_number 166
_space_group_name_Hall '-R 3 2"'
loop_
_atom_site_label
_atom_site_type_symbol
_atom_site_fract_x
_atom_site_fract_y
_atom_site_fract_z
Sr1 Sr 0.0000 0.0000 0.1439
Mg1 Mg 0.0249 0.5124 0.0977
Mg2 Mg 0.0691 0.5346 0.6219
In1 In 0.0000 0.0000 0.5000
Hg1 Hg 0.0000 0.5000 0.0000
# V = 28.50 A^3/atom
# magnetization = 0.000 μB/f.u.
# E_form = 0.4 eV/f.u.



# 6
# SrMg2In2Hg2 | Alexandria | PBE | optimized geometry
data_SrMg2In2Hg2
_cell_length_a 4.8923
_cell_length_b 4.8923
_cell_length_c 26.9063
_cell_angle_alpha 90.00
_cell_angle_beta 90.00
_cell_angle_gamma 120.00
_space_group_name_H-M_alt 'R -3 m'
_space_group_IT_number 166
_space_group_name_Hall '-R 3 2"'
loop_
_atom_site_label
_atom_site_type_symbol
_atom_site_fract_x
_atom_site_fract_y
_atom_site_fract_z
Sr1 Sr 0.0000 0.0000 0.0000
Mg1 Mg 0.0000 0.0000 0.1389
In1 In 0.0000 0.0000 0.2572
Hg1 Hg 0.0000 0.0000 0.4353
# V = 26.56 A^3/atom
# magnetization = 0.000 μB/f.u.
# E_form = -1.7 eV/f.u.



# 7
# SrMgIn2Hg2 | Alexandria | PBE | optimized geometry
data_SrMgIn2Hg2
_cell_length_a 5.0040
_cell_length_b 5.0040
_cell_length_c 7.5106
_cell_angle_alpha 90.00
_cell_angle_beta 90.00
_cell_angle_gamma 120.00
_space_group_name_H-M_alt 'P -3 m 1'
_space_group_IT_number 164
_space_group_name_Hall '-P 3 2"'
loop_
_atom_site_label
_atom_site_type_symbol
_atom_site_fract_x
_atom_site_fract_y
_atom_site_fract_z
Sr1 Sr 0.0000 0.0000 0.0000
Mg1 Mg 0.0000 0.0000 0.5000
In1 In 0.3333 0.6667 0.3015
Hg1 Hg 0.3333 0.6667 0.7398
# V = 27.14 A^3/atom
# magnetization = 0.000 μB/f.u.
# E_form = -1.7 eV/f.u.



# 8
# Tb3Mg3In2Hg | Alexandria | PBE | optimized geometry
data_Tb3Mg3In2Hg
_cell_length_a 7.5527
_cell_length_b 7.5527
_cell_length_c 4.6168
_cell_angle_alpha 90.00
_cell_angle_beta 90.00
_cell_angle_gamma 120.00
_space_group_name_H-M_alt 'P -6 2 m'
_space_group_IT_number 189
_space_group_name_Hall 'P -6 -2'
loop_
_atom_site_label
_atom_site_type_symbol
_atom_site_fract_x
_atom_site_fract_y
_atom_site_fract_z
Tb1 Tb 0.0000 0.5803 0.0000
Mg1 Mg 0.0000 0.2393 0.5000
In1 In 0.3333 0.6667 0.5000
Hg1 Hg 0.0000 0.0000 0.0000
# V = 25.34 A^3/atom
# magnetization = 0.000 μB/f.u.
# E_form = -3.8 eV/f.u.



# 9
# MgInTc2Hg | Alexandria | PBE | optimized geometry
data_MgInTc2Hg
_cell_length_a 4.762
_cell_length_b 4.762
_cell_length_c 4.853
_cell_angle_alpha 90.00
_cell_angle_beta 90.00
_cell_angle_gamma 90.00
_space_group_name_H-M_alt 'P 4/m m m'
_space_group_IT_number 123
_space_group_name_Hall '-P 4 2'
loop_
_atom_site_label
_atom_site_type_symbol
_atom_site_fract_x
_atom_site_fract_y
_atom_site_fract_z
Mg1 Mg 0.000 0.000 0.000
In1 In 0.500 0.500 0.500
Tc1 Tc 0.000 0.500 0.000
Hg1 Hg 0.000 0.000 0.500
# V = 22.01 A^3/atom
# magnetization = 4.038 μB/f.u.
# E_form = 7.3 eV/f.u.



# 10
# MgInTcHg2 | Alexandria | PBE | optimized geometry
data_MgInTcHg2
_cell_length_a 5.159
_cell_length_b 5.159
_cell_length_c 5.470
_cell_angle_alpha 90.00
_cell_angle_beta 90.00
_cell_angle_gamma 90.00
_space_group_name_H-M_alt 'P 4/m m m'
_space_group_IT_number 123
_space_group_name_Hall '-P 4 2'
loop_
_atom_site_label
_atom_site_type_symbol
_atom_site_fract_x
_atom_site_fract_y
_atom_site_fract_z
Mg1 Mg 0.000 0.000 0.000
In1 In 0.000 0.000 0.500
Tc1 Tc 0.500 0.500 0.500
Hg1 Hg 0.000 0.500 0.000
# V = 29.12 A^3/atom
# magnetization = 3.903 μB/f.u.
# E_form = 5.5 eV/f.u.



# 11
# MgInHg2Te4 | Alexandria | PBE | optimized geometry
data_MgInHg2Te4
_cell_length_a 6.724
_cell_length_b 6.724
_cell_length_c 8.191
_cell_angle_alpha 65.80
_cell_angle_beta 65.82
_cell_angle_gamma 90.00
_space_group_name_H-M_alt 'P 1'
_space_group_IT_number 1
_space_group_name_Hall 'P 1'
loop_
_atom_site_label
_atom_site_type_symbol
_atom_site_fract_x
_atom_site_fract_y
_atom_site_fract_z
Mg1 Mg 0.000 0.000 0.000
In1 In 0.250 0.750 0.500
Hg1 Hg 0.500 0.500 0.000
Hg2 Hg 0.751 0.251 0.500
Te1 Te 0.122 0.632 0.245
Te2 Te 0.369 0.367 0.756
Te3 Te 0.634 0.124 0.245
Te4 Te 0.876 0.878 0.756
# energy relative to the elements, uncorrected = -318 meV per atom
# V = 37.73 A^3/atom
# magnetization = 0.000 μB/f.u.



# 12
# Mg2TlInHg4 | Alexandria | PBE | optimized geometry
data_Mg2TlInHg4
_cell_length_a 5.1945
_cell_length_b 5.1945
_cell_length_c 25.3668
_cell_angle_alpha 90.00
_cell_angle_beta 90.00
_cell_angle_gamma 120.00
_space_group_name_H-M_alt 'R -3 m'
_space_group_IT_number 166
_space_group_name_Hall '-R 3 2"'
loop_
_atom_site_label
_atom_site_type_symbol
_atom_site_fract_x
_atom_site_fract_y
_atom_site_fract_z
Mg1 Mg 0.0000 0.0000 0.2501
Tl1 Tl 0.0000 0.0000 0.0000
In1 In 0.0000 0.0000 0.5000
Hg1 Hg 0.0000 0.0000 0.1267
Hg2 Hg 0.0000 0.0000 0.3773
# V = 24.70 A^3/atom
# magnetization = 0.000 μB/f.u.
# E_form = -0.5 eV/f.u.